# 1
TaAlCrAu: optimized geometry, PBE-GGA.

a b c (Å): 3.5519 3.9277 4.4389
angles (deg): 90.00 90.00 90.00
Positions (direct):
Ta  0.0000  0.0000  0.0000
Al  0.0000  0.5000  0.5000
Cr  0.5000  0.5000  0.0000
Au  0.5000  0.0000  0.5000

Results
The value obtained for the energy of formation is -0.10 eV/atom. The crystal system is orthorhombic.

# 2
TaAlCrAu: optimized geometry, PBE-GGA.

a b c (Å): 3.5889 3.9221 8.7434
angles (deg): 90.00 90.00 90.00
Positions (direct):
Ta  0.0000  0.0000  0.0000
Ta  0.5000  0.5000  0.5000
Al  0.0000  0.5000  0.7539
Al  0.5000  0.0000  0.2539
Cr  0.0000  0.0000  0.4956
Cr  0.5000  0.5000  0.9956
Au  0.0000  0.5000  0.2468
Au  0.5000  0.0000  0.7468

Results
The value obtained for the energy of formation is -0.12 eV/atom. The crystal system is orthorhombic.

# 3
TaAlCrAu: optimized geometry, PBE-GGA.

a b c (Å): 3.3759 4.4757 8.2981
angles (deg): 90.00 90.00 90.00
Positions (direct):
Ta  0.0000  0.0000  0.0000
Ta  0.5000  0.5000  0.5000
Al  0.0000  0.0000  0.5194
Al  0.5000  0.5000  0.0194
Cr  0.0000  0.5000  0.2687
Cr  0.5000  0.0000  0.7687
Au  0.0000  0.5000  0.7720
Au  0.5000  0.0000  0.2720

Results
The value obtained for the energy of formation is 0.02 eV/atom. The crystal system is orthorhombic.

# 4
TaAlCrAu: optimized geometry, PBE-GGA.

a b c (Å): 4.8932 3.1081 8.5627
angles (deg): 90.00 94.63 90.00
Positions (direct):
Ta  0.0000  0.0000  0.0000
Ta  0.5000  0.5000  0.0000
Al  0.1058  0.5000  0.7322
Al  0.6058  0.0000  0.7322
Cr  0.0289  0.5000  0.2280
Cr  0.5289  0.0000  0.2280
Au  0.4163  0.5000  0.4861
Au  0.9163  0.0000  0.4861

Results
The value obtained for the energy of formation is 0.06 eV/atom. The crystal system is monoclinic.

# 5
TaAlCrAu: optimized geometry, PBE-GGA.

a b c (Å): 4.2632 4.2632 13.3695
angles (deg): 90.00 90.00 120.00
Positions (direct):
Ta  0.0000  0.0000  0.0000
Ta  0.3333  0.6667  0.6667
Ta  0.6667  0.3333  0.3333
Al  0.0000  0.0000  0.7830
Al  0.3333  0.6667  0.4497
Al  0.6667  0.3333  0.1163
Cr  0.0000  0.0000  0.5934
Cr  0.3333  0.6667  0.2601
Cr  0.6667  0.3333  0.9268
Au  0.0000  0.0000  0.2026
Au  0.3333  0.6667  0.8693
Au  0.6667  0.3333  0.5360

Results
The value obtained for the energy of formation is 0.24 eV/atom. The crystal system is trigonal.

# 6
TaAlCrAu: optimized geometry, PBE-GGA.

a b c (Å): 9.1865 3.1511 4.7254
angles (deg): 90.00 109.70 90.00
Positions (direct):
Ta  0.0000  0.0000  0.0000
Ta  0.5000  0.5000  0.0000
Al  0.2356  0.0000  0.6551
Al  0.7356  0.5000  0.6551
Cr  0.2328  0.5000  0.1409
Cr  0.7328  0.0000  0.1409
Au  0.4922  0.0000  0.4957
Au  0.9922  0.5000  0.4957

Results
The value obtained for the energy of formation is 0.01 eV/atom. The crystal system is monoclinic.

# 7
TaAlCrAu: optimized geometry, PBE-GGA.

a b c (Å): 4.6816 3.2031 8.5136
angles (deg): 90.00 91.87 90.00
Positions (direct):
Ta  0.0000  0.0000  0.0000
Ta  0.5000  0.5000  0.0000
Al  0.4189  0.5000  0.4609
Al  0.9189  0.0000  0.4609
Cr  0.0117  0.5000  0.2312
Cr  0.5117  0.0000  0.2312
Au  0.0804  0.5000  0.7164
Au  0.5804  0.0000  0.7164

Results
The value obtained for the energy of formation is 0.01 eV/atom. The crystal system is monoclinic.

# 8
TaAlCrAu: optimized geometry, PBE-GGA.

a b c (Å): 2.7924 4.2287 5.3259
angles (deg): 90.00 94.09 90.00
Positions (direct):
Ta  0.0000  0.0000  0.0000
Al  0.4930  0.5000  0.2675
Cr  0.9512  0.0000  0.4667
Au  0.4687  0.5000  0.7449

Results
The value obtained for the energy of formation is -0.02 eV/atom. The crystal system is monoclinic.

# 9
TaAlCrAu: optimized geometry, PBE-GGA.

a b c (Å): 3.2129 3.2129 6.0860
angles (deg): 90.00 90.00 90.00
Positions (direct):
Ta  0.0000  0.0000  0.0000
Al  0.0000  0.0000  0.4468
Cr  0.5000  0.5000  0.2021
Au  0.5000  0.5000  0.6900

Results
The value obtained for the energy of formation is -0.12 eV/atom. The crystal system is tetragonal.

# 10
TaAlCrAu: optimized geometry, PBE-GGA.

a b c (Å): 5.0062 2.7947 5.0533
angles (deg): 90.00 117.03 90.00
Positions (direct):
Ta  0.0000  0.0000  0.0000
Al  0.0000  0.5000  0.5000
Cr  0.5000  0.0000  0.5000
Au  0.5000  0.5000  0.0000

Results
The value obtained for the energy of formation is 0.04 eV/atom. The crystal system is monoclinic.

# 11
TaAlZnCrAu: optimized geometry, PBE-GGA.

a b c (Å): 3.2382 3.2382 14.7241
angles (deg): 90.00 90.00 90.00
Positions (direct):
Ta  0.0000  0.0000  0.0000
Ta  0.5000  0.5000  0.5000
Al  0.0000  0.0000  0.8166
Al  0.5000  0.5000  0.3166
Zn  0.0000  0.0000  0.2202
Zn  0.5000  0.5000  0.7202
Cr  0.0000  0.0000  0.4116
Cr  0.5000  0.5000  0.9116
Au  0.0000  0.0000  0.6188
Au  0.5000  0.5000  0.1188

Results
The value obtained for the energy of formation is -0.10 eV/atom. The crystal system is tetragonal.

# 12
TaAlZnCrAu: optimized geometry, PBE-GGA.

a b c (Å): 3.0359 4.2675 12.6039
angles (deg): 90.00 90.00 90.00
Positions (direct):
Ta  0.0000  0.0000  0.0000
Ta  0.0000  0.5000  0.5000
Al  0.0000  0.0000  0.3662
Al  0.0000  0.5000  0.8662
Zn  0.5000  0.0000  0.1822
Zn  0.5000  0.5000  0.6822
Cr  0.5000  0.0000  0.5399
Cr  0.5000  0.5000  0.0399
Au  0.0000  0.0000  0.7461
Au  0.0000  0.5000  0.2461

Results
The value obtained for the energy of formation is 0.13 eV/atom. The crystal system is orthorhombic.

# 13
TaAlZnCrAu: optimized geometry, PBE-GGA.

a b c (Å): 4.3748 2.9903 12.8523
angles (deg): 90.00 90.00 90.00
Positions (direct):
Ta  0.0000  0.0000  0.0000
Ta  0.0000  0.5000  0.5000
Al  0.5000  0.0000  0.8549
Al  0.5000  0.5000  0.3549
Zn  0.0000  0.0000  0.6910
Zn  0.0000  0.5000  0.1910
Cr  0.0000  0.0000  0.3525
Cr  0.0000  0.5000  0.8525
Au  0.5000  0.0000  0.1404
Au  0.5000  0.5000  0.6404

Results
The value obtained for the energy of formation is 0.16 eV/atom. The crystal system is orthorhombic.

# 14
TaAlZnCrAu: optimized geometry, PBE-GGA.

a b c (Å): 2.7852 2.7877 10.8232
angles (deg): 94.94 95.40 106.86
Positions (direct):
Ta  0.0000  0.0000  0.0000
Al  0.8082  0.8288  0.6357
Zn  0.3464  0.0824  0.4289
Cr  0.4026  0.4106  0.8140
Au  0.6210  0.5961  0.2204

Results
The value obtained for the energy of formation is 0.03 eV/atom. The crystal system is triclinic.

# 15
TaAlZnCrAu: optimized geometry, PBE-GGA.

a b c (Å): 3.1634 4.9125 5.5392
angles (deg): 81.68 73.45 71.34
Positions (direct):
Ta  0.0000  0.0000  0.0000
Al  0.3627  0.8278  0.4491
Zn  0.5676  0.2395  0.6270
Cr  0.7726  0.6310  0.8260
Au  0.1678  0.4265  0.2420

Results
The value obtained for the energy of formation is 0.01 eV/atom. The crystal system is triclinic.

# 16
TaAlZnCrAu: optimized geometry, PBE-GGA.

a b c (Å): 3.5356 3.7833 6.1507
angles (deg): 90.00 90.00 90.00
Positions (direct):
Ta  0.0000  0.0000  0.0000
Al  0.0000  0.5000  0.6196
Zn  0.5000  0.0000  0.6267
Cr  0.5000  0.5000  0.9109
Au  0.5000  0.5000  0.3150

Results
The value obtained for the energy of formation is 0.16 eV/atom. The crystal system is orthorhombic.

# 17
TaAlZnCrAu: optimized geometry, PBE-GGA.

a b c (Å): 12.9790 4.3454 2.8249
angles (deg): 90.00 97.37 90.00
Positions (direct):
Ta  0.0000  0.0000  0.0000
Ta  0.5000  0.5000  0.0000
Al  0.4128  0.0000  0.4142
Al  0.9128  0.5000  0.4142
Zn  0.1881  0.0000  0.5254
Zn  0.6881  0.5000  0.5254
Cr  0.0982  0.5000  0.8327
Cr  0.5982  0.0000  0.8327
Au  0.2950  0.5000  0.3709
Au  0.7950  0.0000  0.3709

Results
The value obtained for the energy of formation is -0.03 eV/atom. The crystal system is monoclinic.

# 18
TaAlZnCrAu: optimized geometry, PBE-GGA.

a b c (Å): 12.8380 4.3627 2.8061
angles (deg): 90.00 95.86 90.00
Positions (direct):
Ta  0.0000  0.0000  0.0000
Ta  0.5000  0.5000  0.0000
Al  0.1034  0.5000  0.5211
Al  0.6034  0.0000  0.5211
Zn  0.2889  0.5000  0.3795
Zn  0.7889  0.0000  0.3795
Cr  0.1885  0.0000  0.8995
Cr  0.6885  0.5000  0.8995
Au  0.3962  0.0000  0.4568
Au  0.8962  0.5000  0.4568

Results
The value obtained for the energy of formation is 0.01 eV/atom. The crystal system is monoclinic.

# 19
TaAlZnCrAu: optimized geometry, PBE-GGA.

a b c (Å): 9.1319 3.1620 6.8301
angles (deg): 90.00 127.91 90.00
Positions (direct):
Ta  0.0000  0.0000  0.0000
Ta  0.5000  0.5000  0.0000
Al  0.4308  0.0000  0.6188
Al  0.9308  0.5000  0.6188
Zn  0.1383  0.5000  0.4458
Zn  0.6383  0.0000  0.4458
Cr  0.2230  0.0000  0.8162
Cr  0.7230  0.5000  0.8162
Au  0.3297  0.5000  0.2373
Au  0.8297  0.0000  0.2373

Results
The value obtained for the energy of formation is 0.00 eV/atom. The crystal system is monoclinic.

# 20
TaAlZnCrAu: optimized geometry, PBE-GGA.

a b c (Å): 9.4738 3.1655 6.8721
angles (deg): 90.00 130.80 90.00
Positions (direct):
Ta  0.0000  0.0000  0.0000
Ta  0.5000  0.5000  0.0000
Al  0.3801  0.0000  0.5591
Al  0.8801  0.5000  0.5591
Zn  0.1863  0.0000  0.8009
Zn  0.6863  0.5000  0.8009
Cr  0.2628  0.5000  0.1581
Cr  0.7628  0.0000  0.1581
Au  0.0986  0.5000  0.4181
Au  0.5986  0.0000  0.4181

Results
The value obtained for the energy of formation is 0.01 eV/atom. The crystal system is monoclinic.

Number 1: total energy -28.878 eV/cell. Number 2: total energy -57.943 eV/cell. Number 3: total energy -56.860 eV/cell. Number 4: total energy -56.526 eV/cell. Number 5: total energy -82.666 eV/cell. Number 6: total energy -56.893 eV/cell. Number 7: total energy -56.945 eV/cell. Number 8: total energy -28.562 eV/cell. Number 9: total energy -28.978 eV/cell. Number 10: total energy -28.352 eV/cell. Number 11: total energy -60.578 eV/cell. Number 12: total energy -58.260 eV/cell. Number 13: total energy -57.934 eV/cell. Number 14: total energy -29.597 eV/cell. Number 15: total energy -29.702 eV/cell. Number 16: total energy -28.974 eV/cell. Number 17: total energy -59.880 eV/cell. Number 18: total energy -59.451 eV/cell. Number 19: total energy -59.546 eV/cell. Number 20: total energy -59.439 eV/cell.